This record from Alexandria describes a geometry-optimized Zr2ReTc2 structure. The functional is PBE.

```
10
Lattice="6.477 0.000 0.000 0.000 6.477 0.000 0.000 0.000 4.457" Properties=species:S:1:pos:R:3 pbc="T T T"
Zr 1.180 2.058 0.000
Zr 2.058 5.296 0.000
Zr 4.419 1.180 0.000
Zr 5.296 4.419 0.000
Re 0.000 0.000 2.228
Re 3.238 3.238 2.228
Tc 0.899 4.137 2.228
Tc 2.339 0.899 2.228
Tc 4.137 5.578 2.228
Tc 5.578 2.339 2.228
```

Output
Formation enthalpy at 0 K: -0.048 eV per atom
Total DFT energy (no corrections): -10.103 eV/atom
Volume: 186.96 Å³/cell
Space-group type: P4/mbm

This record from Alexandria describes a geometry-optimized Nd2Ho2Cd15 structure. The functional is PBE.

```
19
Lattice="5.040 2.910 5.306 -5.040 2.910 5.306 0.000 -5.820 5.306" Properties=species:S:1:pos:R:3 pbc="T T T"
Nd 0.000 0.000 2.751
Nd 0.000 0.000 13.166
Ho 0.000 0.000 6.397
Ho 0.000 0.000 9.520
Cd -2.520 -1.455 5.306
Cd 0.000 -3.032 4.830
Cd -2.626 1.516 4.830
Cd -1.477 -2.558 7.958
Cd -2.954 0.000 7.958
Cd -2.626 -1.516 11.087
Cd -2.520 1.455 10.611
Cd 1.477 -2.558 7.958
Cd 0.000 2.910 5.306
Cd -1.477 2.558 7.958
Cd 2.626 1.516 4.830
Cd 2.954 0.000 7.958
Cd 1.477 2.558 7.958
Cd 2.626 -1.516 11.087
Cd 0.000 3.032 11.087
```

Output
Formation enthalpy at 0 K: -0.140 eV per atom
Total DFT energy (no corrections): -1.846 eV/atom
Volume: 466.87 Å³/cell
Space-group type: R-3m

This record from Alexandria describes a geometry-optimized Ga2CoTcBi structure. The functional is PBE.

```
5
Lattice="5.400 0.000 0.000 0.000 5.400 0.000 0.000 0.000 4.765" Properties=species:S:1:pos:R:3 pbc="T T T"
Ga 0.000 2.700 0.000
Ga 2.700 0.000 0.000
Co 0.000 0.000 2.383
Tc 2.700 2.700 2.383
Bi 0.000 0.000 0.000
```

Output
Formation enthalpy at 0 K: 1.665 eV per atom
Total DFT energy (no corrections): -3.816 eV/atom
Volume: 138.97 Å³/cell
Space-group type: P4/mmm

This record from Alexandria describes a geometry-optimized LaTbPmAg structure. The functional is PBE.

```
4
Lattice="0.000 3.882 3.882 3.882 0.000 3.882 3.882 3.882 0.000" Properties=species:S:1:pos:R:3 pbc="T T T"
La 0.000 0.000 0.000
Tb 3.882 3.882 3.882
Pm 1.941 1.941 1.941
Ag 5.823 5.823 5.823
```

Output
Formation enthalpy at 0 K: 0.093 eV per atom
Total DFT energy (no corrections): -4.197 eV/atom
Volume: 117.02 Å³/cell
Space-group type: F-43m

This record from Alexandria describes a geometry-optimized ThMgAlPd structure. The functional is PBE.

```
4
Lattice="0.000 3.510 3.510 3.510 0.000 3.510 3.510 3.510 0.000" Properties=species:S:1:pos:R:3 pbc="T T T"
Th 0.000 0.000 0.000
Mg 3.510 3.510 3.510
Al 5.265 5.265 5.265
Pd 1.755 1.755 1.755
```

Output
Formation enthalpy at 0 K: -0.448 eV per atom
Total DFT energy (no corrections): -4.936 eV/atom
Volume: 86.49 Å³/cell
Space-group type: F-43m

This record from Alexandria describes a geometry-optimized BaBePd2Au structure. The functional is PBE.

```
5
Lattice="4.597 0.000 0.000 0.000 4.597 0.000 0.000 0.000 4.772" Properties=species:S:1:pos:R:3 pbc="T T T"
Ba 0.000 0.000 0.000
Be 2.298 2.298 2.386
Pd 0.000 2.298 2.386
Pd 2.298 0.000 2.386
Au 2.298 2.298 0.000
```

Output
Formation enthalpy at 0 K: -0.387 eV per atom
Total DFT energy (no corrections): -4.249 eV/atom
Volume: 100.83 Å³/cell
Space-group type: P4/mmm

Question: Among the records above, which one has the highest total DFT energy (no corrections)?
Answer: Nd2Ho2Cd15

Question: Which formula does entry 5 have?
Answer: ThMgAlPd

Question: What is the volume in the fifth record?
Answer: 86.49 Å³/cell